1.
# Ga4SnSb, relaxed, DFT GGA-PBE
data_Ga4SnSb
_space_group_name_H-M_alt 'P 1'
_space_group_IT_number 1
_cell_length_a 5.717
_cell_length_b 5.717
_cell_length_c 5.717
_cell_angle_alpha 60.00
_cell_angle_beta 60.00
_cell_angle_gamma 60.00
loop_
_space_group_symop_operation_xyz
'x,y,z'
loop_
_atom_site_label
_atom_site_fract_x
_atom_site_fract_y
_atom_site_fract_z
Ga1 0.125 0.125 0.125
Ga2 0.125 0.125 0.625
Ga3 0.125 0.625 0.125
Ga4 0.625 0.125 0.125
Sn1 0.500 0.500 0.500
Sb1 0.750 0.750 0.750
# Final energy (Ry/atom): -0.2410
# Space-group type: F-43m (216)
# Volume (A^3/atom): 22.02

=====

2.
# Ga2Sn2Sb, relaxed, DFT GGA-PBE
data_Ga2Sn2Sb
_space_group_name_H-M_alt 'P 1'
_space_group_IT_number 1
_cell_length_a 6.516
_cell_length_b 6.516
_cell_length_c 6.516
_cell_angle_alpha 136.74
_cell_angle_beta 136.74
_cell_angle_gamma 62.84
loop_
_space_group_symop_operation_xyz
'x,y,z'
loop_
_atom_site_label
_atom_site_fract_x
_atom_site_fract_y
_atom_site_fract_z
Ga1 0.108 0.108 0.000
Ga2 0.892 0.892 0.000
Sn1 0.250 0.750 0.500
Sn2 0.750 0.250 0.500
Sb1 0.500 0.500 0.000
# Final energy (Ry/atom): -0.2531
# Space-group type: I4/mmm (139)
# Energy above the most stable polymorph in this dataset (kJ/mol of formula units): 58
# Volume (A^3/atom): 25.66

=====

3.
# Ga3Sn12Sb5, relaxed, DFT GGA-PBE
data_Ga3Sn12Sb5
_space_group_name_H-M_alt 'P 1'
_space_group_IT_number 1
_cell_length_a 15.044
_cell_length_b 15.044
_cell_length_c 15.044
_cell_angle_alpha 109.47
_cell_angle_beta 109.47
_cell_angle_gamma 109.47
loop_
_space_group_symop_operation_xyz
'x,y,z'
loop_
_atom_site_label
_atom_site_fract_x
_atom_site_fract_y
_atom_site_fract_z
Ga1 0.125 0.250 0.375
Ga2 0.125 0.375 0.750
Ga3 0.250 0.375 0.125
Ga4 0.250 0.875 0.625
Ga5 0.375 0.125 0.250
Ga6 0.375 0.750 0.125
Ga7 0.625 0.250 0.875
Ga8 0.625 0.875 0.750
Ga9 0.750 0.125 0.375
Ga10 0.750 0.625 0.875
Ga11 0.875 0.625 0.250
Ga12 0.875 0.750 0.625
Sn1 0.062 0.632 0.391
Sn2 0.062 0.930 0.671
Sn3 0.070 0.241 0.132
Sn4 0.070 0.329 0.938
Sn5 0.109 0.741 0.671
Sn6 0.109 0.868 0.438
Sn7 0.132 0.070 0.241
Sn8 0.132 0.562 0.891
Sn9 0.171 0.241 0.609
Sn10 0.171 0.430 0.562
Sn11 0.241 0.132 0.070
Sn12 0.241 0.609 0.171
Sn13 0.259 0.329 0.891
Sn14 0.259 0.430 0.368
Sn15 0.329 0.891 0.259
Sn16 0.329 0.938 0.070
Sn17 0.368 0.259 0.430
Sn18 0.368 0.609 0.938
Sn19 0.391 0.062 0.632
Sn20 0.391 0.829 0.759
Sn21 0.430 0.368 0.259
Sn22 0.430 0.562 0.171
Sn23 0.438 0.109 0.868
Sn24 0.438 0.829 0.570
Sn25 0.562 0.171 0.430
Sn26 0.562 0.891 0.132
Sn27 0.570 0.438 0.829
Sn28 0.570 0.632 0.741
Sn29 0.609 0.171 0.241
Sn30 0.609 0.938 0.368
Sn31 0.632 0.391 0.062
Sn32 0.632 0.741 0.570
Sn33 0.671 0.062 0.930
Sn34 0.671 0.109 0.741
Sn35 0.741 0.570 0.632
Sn36 0.741 0.671 0.109
Sn37 0.759 0.391 0.829
Sn38 0.759 0.868 0.930
Sn39 0.829 0.570 0.438
Sn40 0.829 0.759 0.391
Sn41 0.868 0.438 0.109
Sn42 0.868 0.930 0.759
Sn43 0.891 0.132 0.562
Sn44 0.891 0.259 0.329
Sn45 0.930 0.671 0.062
Sn46 0.930 0.759 0.868
Sn47 0.938 0.070 0.329
Sn48 0.938 0.368 0.609
Sb1 0.000 0.000 0.000
Sb2 0.000 0.000 0.500
Sb3 0.000 0.500 0.000
Sb4 0.000 0.500 0.500
Sb5 0.125 0.750 0.875
Sb6 0.125 0.875 0.250
Sb7 0.250 0.125 0.875
Sb8 0.250 0.625 0.375
Sb9 0.375 0.250 0.625
Sb10 0.375 0.625 0.750
Sb11 0.500 0.000 0.000
Sb12 0.500 0.000 0.500
Sb13 0.500 0.500 0.000
Sb14 0.500 0.500 0.500
Sb15 0.625 0.375 0.250
Sb16 0.625 0.750 0.375
Sb17 0.750 0.375 0.625
Sb18 0.750 0.875 0.125
Sb19 0.875 0.125 0.750
Sb20 0.875 0.250 0.125
# Final energy (Ry/atom): -0.2732
# Space-group type: Ia-3d (230)
# Volume (A^3/atom): 32.77

=====

4.
# GaSnSb2, relaxed, DFT GGA-PBE
data_GaSnSb2
_space_group_name_H-M_alt 'P 1'
_space_group_IT_number 1
_cell_length_a 7.795
_cell_length_b 7.795
_cell_length_c 7.795
_cell_angle_alpha 30.44
_cell_angle_beta 30.44
_cell_angle_gamma 30.44
loop_
_space_group_symop_operation_xyz
'x,y,z'
loop_
_atom_site_label
_atom_site_fract_x
_atom_site_fract_y
_atom_site_fract_z
Ga1 0.000 0.000 0.000
Sn1 0.832 0.832 0.832
Sb1 0.408 0.408 0.408
Sb2 0.591 0.591 0.591
# Final energy (Ry/atom): -0.2762
# Space-group type: R3m (160)
# Energy above the most stable polymorph in this dataset (kJ/mol of formula units): 19
# Volume (A^3/atom): 26.94

=====

5.
# GaSnSb, relaxed, DFT GGA-PBE
data_GaSnSb
_space_group_name_H-M_alt 'P 1'
_space_group_IT_number 1
_cell_length_a 4.610
_cell_length_b 4.610
_cell_length_c 9.662
_cell_angle_alpha 90.00
_cell_angle_beta 90.00
_cell_angle_gamma 120.00
loop_
_space_group_symop_operation_xyz
'x,y,z'
loop_
_atom_site_label
_atom_site_fract_x
_atom_site_fract_y
_atom_site_fract_z
Ga1 0.333 0.667 0.210
Ga2 0.667 0.333 0.790
Sn1 0.000 0.000 0.152
Sn2 0.000 0.000 0.848
Sb1 0.333 0.667 0.576
Sb2 0.667 0.333 0.424
# Final energy (Ry/atom): -0.2628
# Space-group type: P-3m1 (164)
# Energy above the most stable polymorph in this dataset (kJ/mol of formula units): 17
# Volume (A^3/atom): 29.64

=====

6.
# SrGaSn2Sb, relaxed, DFT GGA-PBE
data_SrGaSn2Sb
_space_group_name_H-M_alt 'P 1'
_space_group_IT_number 1
_cell_length_a 5.857
_cell_length_b 5.857
_cell_length_c 5.206
_cell_angle_alpha 90.00
_cell_angle_beta 90.00
_cell_angle_gamma 90.00
loop_
_space_group_symop_operation_xyz
'x,y,z'
loop_
_atom_site_label
_atom_site_fract_x
_atom_site_fract_y
_atom_site_fract_z
Sr1 0.000 0.000 0.000
Ga1 0.500 0.500 0.000
Sn1 0.000 0.500 0.500
Sn2 0.500 0.000 0.500
Sb1 0.500 0.500 0.500
# Final energy (Ry/atom): -0.2348
# Space-group type: P4/mmm (123)
# Volume (A^3/atom): 35.72

=====

7.
# GaSnSbTe2, relaxed, DFT GGA-PBE
data_GaSnSbTe2
_space_group_name_H-M_alt 'P 1'
_space_group_IT_number 1
_cell_length_a 5.789
_cell_length_b 5.789
_cell_length_c 5.644
_cell_angle_alpha 90.00
_cell_angle_beta 90.00
_cell_angle_gamma 90.00
loop_
_space_group_symop_operation_xyz
'x,y,z'
loop_
_atom_site_label
_atom_site_fract_x
_atom_site_fract_y
_atom_site_fract_z
Ga1 0.000 0.000 0.000
Sn1 0.500 0.500 0.500
Sb1 0.500 0.500 0.000
Te1 0.000 0.500 0.500
Te2 0.500 0.000 0.500
# Final energy (Ry/atom): -0.2204
# Space-group type: P4/mmm (123)
# Energy above the most stable polymorph in this dataset (kJ/mol of formula units): 76
# Volume (A^3/atom): 37.83

=====

8.
# GaSnSbTe2, relaxed, DFT GGA-PBE
data_GaSnSbTe2
_space_group_name_H-M_alt 'P 1'
_space_group_IT_number 1
_cell_length_a 5.412
_cell_length_b 5.412
_cell_length_c 5.310
_cell_angle_alpha 90.00
_cell_angle_beta 90.00
_cell_angle_gamma 90.00
loop_
_space_group_symop_operation_xyz
'x,y,z'
loop_
_atom_site_label
_atom_site_fract_x
_atom_site_fract_y
_atom_site_fract_z
Ga1 0.000 0.000 0.000
Sn1 0.500 0.500 0.500
Sb1 0.000 0.000 0.500
Te1 0.000 0.500 0.000
Te2 0.500 0.000 0.000
# Final energy (Ry/atom): -0.2320
# Space-group type: P4/mmm (123)
# Energy above the most stable polymorph in this dataset (kJ/mol of formula units): 0
# Volume (A^3/atom): 31.11

=====

9.
# TlGaSnSb, relaxed, DFT GGA-PBE
data_TlGaSnSb
_space_group_name_H-M_alt 'P 1'
_space_group_IT_number 1
_cell_length_a 5.358
_cell_length_b 5.358
_cell_length_c 5.358
_cell_angle_alpha 60.00
_cell_angle_beta 60.00
_cell_angle_gamma 60.00
loop_
_space_group_symop_operation_xyz
'x,y,z'
loop_
_atom_site_label
_atom_site_fract_x
_atom_site_fract_y
_atom_site_fract_z
Tl1 0.000 0.000 0.000
Ga1 0.750 0.750 0.750
Sn1 0.250 0.250 0.250
Sb1 0.500 0.500 0.500
# Final energy (Ry/atom): -0.2395
# Space-group type: F-43m (216)
# Volume (A^3/atom): 27.19

=====

10.
# SrGa2Sb, relaxed, DFT GGA-PBE
data_SrGa2Sb
_space_group_name_H-M_alt 'P 1'
_space_group_IT_number 1
_cell_length_a 4.683
_cell_length_b 4.683
_cell_length_c 4.750
_cell_angle_alpha 90.00
_cell_angle_beta 90.00
_cell_angle_gamma 90.00
loop_
_space_group_symop_operation_xyz
'x,y,z'
loop_
_atom_site_label
_atom_site_fract_x
_atom_site_fract_y
_atom_site_fract_z
Sr1 0.000 0.000 0.000
Ga1 0.000 0.500 0.500
Ga2 0.500 0.000 0.500
Sb1 0.500 0.500 0.000
# Final energy (Ry/atom): -0.2450
# Space-group type: P4/mmm (123)
# Volume (A^3/atom): 26.04

=====

11.
# SrGa2Sb2, relaxed, DFT GGA-PBE
data_SrGa2Sb2
_space_group_name_H-M_alt 'P 1'
_space_group_IT_number 1
_cell_length_a 8.131
_cell_length_b 8.131
_cell_length_c 3.955
_cell_angle_alpha 90.00
_cell_angle_beta 90.00
_cell_angle_gamma 90.00
loop_
_space_group_symop_operation_xyz
'x,y,z'
loop_
_atom_site_label
_atom_site_fract_x
_atom_site_fract_y
_atom_site_fract_z
Sr1 0.000 0.000 0.000
Sr2 0.500 0.500 0.000
Ga1 0.119 0.381 0.000
Ga2 0.381 0.881 0.000
Ga3 0.619 0.119 0.000
Ga4 0.881 0.619 0.000
Sb1 0.165 0.665 0.500
Sb2 0.335 0.165 0.500
Sb3 0.665 0.835 0.500
Sb4 0.835 0.335 0.500
# Final energy (Ry/atom): -0.2567
# Space-group type: P4/mbm (127)
# Volume (A^3/atom): 26.14

=====

12.
# SrGa2Sb2, relaxed, DFT GGA-PBE
data_SrGa2Sb2
_space_group_name_H-M_alt 'P 1'
_space_group_IT_number 1
_cell_length_a 6.078
_cell_length_b 6.078
_cell_length_c 6.078
_cell_angle_alpha 127.76
_cell_angle_beta 127.76
_cell_angle_gamma 77.01
loop_
_space_group_symop_operation_xyz
'x,y,z'
loop_
_atom_site_label
_atom_site_fract_x
_atom_site_fract_y
_atom_site_fract_z
Sr1 0.000 0.000 0.000
Ga1 0.366 0.366 0.000
Ga2 0.634 0.634 0.000
Sb1 0.250 0.750 0.500
Sb2 0.750 0.250 0.500
# Final energy (Ry/atom): -0.2627
# Space-group type: I4/mmm (139)
# Volume (A^3/atom): 27.24

=====

13.
# SrGaSb2, relaxed, DFT GGA-PBE
data_SrGaSb2
_space_group_name_H-M_alt 'P 1'
_space_group_IT_number 1
_cell_length_a 8.451
_cell_length_b 8.451
_cell_length_c 8.451
_cell_angle_alpha 28.48
_cell_angle_beta 28.48
_cell_angle_gamma 28.48
loop_
_space_group_symop_operation_xyz
'x,y,z'
loop_
_atom_site_label
_atom_site_fract_x
_atom_site_fract_y
_atom_site_fract_z
Sr1 0.000 0.000 0.000
Ga1 0.500 0.500 0.500
Sb1 0.233 0.233 0.233
Sb2 0.767 0.767 0.767
# Final energy (Ry/atom): -0.2571
# Space-group type: R-3m (166)
# Volume (A^3/atom): 30.33

=====

14.
# Sr6Ga2Sb, relaxed, DFT GGA-PBE
data_Sr6Ga2Sb
_space_group_name_H-M_alt 'P 1'
_space_group_IT_number 1
_cell_length_a 9.635
_cell_length_b 9.635
_cell_length_c 9.635
_cell_angle_alpha 113.71
_cell_angle_beta 109.76
_cell_angle_gamma 105.05
loop_
_space_group_symop_operation_xyz
'x,y,z'
loop_
_atom_site_label
_atom_site_fract_x
_atom_site_fract_y
_atom_site_fract_z
Sr1 0.047 0.243 0.804
Sr2 0.179 0.270 0.449
Sr3 0.179 0.730 0.908
Sr4 0.334 0.021 0.687
Sr5 0.334 0.647 0.313
Sr6 0.439 0.243 0.196
Sr7 0.561 0.757 0.804
Sr8 0.666 0.353 0.687
Sr9 0.666 0.979 0.313
Sr10 0.821 0.270 0.092
Sr11 0.821 0.730 0.551
Sr12 0.953 0.757 0.196
Ga1 0.109 0.609 0.500
Ga2 0.339 0.000 0.339
Ga3 0.661 0.000 0.661
Ga4 0.891 0.391 0.500
Sb1 0.000 0.000 0.000
Sb2 0.500 0.500 0.000
# Final energy (Ry/atom): -0.1975
# Space-group type: Immm (71)
# Volume (A^3/atom): 38.04

=====

15.
# SrGaSb2, relaxed, DFT GGA-PBE
data_SrGaSb2
_space_group_name_H-M_alt 'P 1'
_space_group_IT_number 1
_cell_length_a 8.733
_cell_length_b 8.733
_cell_length_c 15.057
_cell_angle_alpha 104.93
_cell_angle_beta 104.93
_cell_angle_gamma 94.15
loop_
_space_group_symop_operation_xyz
'x,y,z'
loop_
_atom_site_label
_atom_site_fract_x
_atom_site_fract_y
_atom_site_fract_z
Sr1 0.144 0.715 0.612
Sr2 0.283 0.331 0.867
Sr3 0.285 0.856 0.888
Sr4 0.331 0.283 0.367
Sr5 0.669 0.717 0.633
Sr6 0.715 0.144 0.112
Sr7 0.717 0.669 0.133
Sr8 0.856 0.285 0.388
Ga1 0.042 0.770 0.344
Ga2 0.230 0.958 0.156
Ga3 0.239 0.464 0.144
Ga4 0.464 0.239 0.644
Ga5 0.536 0.761 0.356
Ga6 0.761 0.536 0.856
Ga7 0.770 0.042 0.844
Ga8 0.958 0.230 0.656
Sb1 0.007 0.993 0.250
Sb2 0.017 0.462 0.234
Sb3 0.177 0.312 0.569
Sb4 0.295 0.678 0.055
Sb5 0.312 0.177 0.069
Sb6 0.322 0.705 0.445
Sb7 0.435 0.565 0.750
Sb8 0.462 0.017 0.734
Sb9 0.538 0.983 0.266
Sb10 0.565 0.435 0.250
Sb11 0.678 0.295 0.555
Sb12 0.688 0.823 0.931
Sb13 0.705 0.322 0.945
Sb14 0.823 0.688 0.431
Sb15 0.983 0.538 0.766
Sb16 0.993 0.007 0.750
# Final energy (Ry/atom): -0.2706
# Space-group type: C2/c (15)
# Volume (A^3/atom): 33.13

=====

16.
# SrGa4Sb, relaxed, DFT GGA-PBE
data_SrGa4Sb
_space_group_name_H-M_alt 'P 1'
_space_group_IT_number 1
_cell_length_a 5.819
_cell_length_b 5.819
_cell_length_c 5.819
_cell_angle_alpha 60.00
_cell_angle_beta 60.00
_cell_angle_gamma 60.00
loop_
_space_group_symop_operation_xyz
'x,y,z'
loop_
_atom_site_label
_atom_site_fract_x
_atom_site_fract_y
_atom_site_fract_z
Sr1 0.000 0.000 0.000
Ga1 0.126 0.625 0.625
Ga2 0.625 0.126 0.625
Ga3 0.625 0.625 0.126
Ga4 0.625 0.625 0.625
Sb1 0.250 0.250 0.250
# Final energy (Ry/atom): -0.2329
# Space-group type: F-43m (216)
# Volume (A^3/atom): 23.22

=====

17.
# SrGa2Sb, relaxed, DFT GGA-PBE
data_SrGa2Sb
_space_group_name_H-M_alt 'P 1'
_space_group_IT_number 1
_cell_length_a 6.749
_cell_length_b 6.749
_cell_length_c 6.749
_cell_angle_alpha 103.28
_cell_angle_beta 103.28
_cell_angle_gamma 122.73
loop_
_space_group_symop_operation_xyz
'x,y,z'
loop_
_atom_site_label
_atom_site_fract_x
_atom_site_fract_y
_atom_site_fract_z
Sr1 0.000 0.000 0.000
Sr2 0.750 0.250 0.500
Ga1 0.167 0.625 0.042
Ga2 0.375 0.417 0.542
Ga3 0.583 0.125 0.958
Ga4 0.875 0.833 0.458
Sb1 0.250 0.750 0.500
Sb2 0.500 0.500 0.000
# Final energy (Ry/atom): -0.2416
# Space-group type: I-42d (122)
# Volume (A^3/atom): 28.37

=====

18.
# Sr3GaSb3, relaxed, DFT GGA-PBE
data_Sr3GaSb3
_space_group_name_H-M_alt 'P 1'
_space_group_IT_number 1
_cell_length_a 11.854
_cell_length_b 14.655
_cell_length_c 13.617
_cell_angle_alpha 90.00
_cell_angle_beta 124.95
_cell_angle_gamma 90.00
loop_
_space_group_symop_operation_xyz
'x,y,z'
loop_
_atom_site_label
_atom_site_fract_x
_atom_site_fract_y
_atom_site_fract_z
Sr1 0.079 0.067 0.165
Sr2 0.079 0.433 0.665
Sr3 0.136 0.750 0.158
Sr4 0.136 0.750 0.658
Sr5 0.139 0.072 0.682
Sr6 0.139 0.428 0.182
Sr7 0.351 0.575 0.024
Sr8 0.351 0.925 0.524
Sr9 0.381 0.595 0.538
Sr10 0.381 0.905 0.038
Sr11 0.403 0.217 0.591
Sr12 0.403 0.283 0.091
Sr13 0.597 0.717 0.909
Sr14 0.597 0.783 0.409
Sr15 0.619 0.095 0.962
Sr16 0.619 0.405 0.462
Sr17 0.649 0.075 0.476
Sr18 0.649 0.425 0.976
Sr19 0.861 0.572 0.818
Sr20 0.861 0.928 0.318
Sr21 0.864 0.250 0.342
Sr22 0.864 0.250 0.842
Sr23 0.921 0.567 0.335
Sr24 0.921 0.933 0.835
Ga1 0.129 0.245 0.322
Ga2 0.129 0.255 0.822
Ga3 0.372 0.091 0.189
Ga4 0.372 0.409 0.689
Ga5 0.628 0.591 0.311
Ga6 0.628 0.909 0.811
Ga7 0.871 0.745 0.178
Ga8 0.871 0.755 0.678
Sb1 0.111 0.742 0.900
Sb2 0.111 0.758 0.400
Sb3 0.115 0.090 0.427
Sb4 0.115 0.410 0.927
Sb5 0.155 0.099 0.949
Sb6 0.155 0.401 0.449
Sb7 0.350 0.568 0.775
Sb8 0.350 0.932 0.275
Sb9 0.367 0.238 0.321
Sb10 0.367 0.262 0.821
Sb11 0.390 0.593 0.295
Sb12 0.390 0.907 0.795
Sb13 0.610 0.093 0.205
Sb14 0.610 0.407 0.705
Sb15 0.633 0.738 0.179
Sb16 0.633 0.762 0.679
Sb17 0.650 0.068 0.725
Sb18 0.650 0.432 0.225
Sb19 0.845 0.599 0.551
Sb20 0.845 0.901 0.051
Sb21 0.885 0.590 0.073
Sb22 0.885 0.910 0.573
Sb23 0.889 0.242 0.600
Sb24 0.889 0.258 0.100
# Final energy (Ry/atom): -0.2789
# Space-group type: P2_1/c (14)
# Energy above the most stable polymorph in this dataset (kJ/mol of formula units): 0
# Volume (A^3/atom): 34.62

=====

no.,uncorrected formation energy (eV/atom)
1,0.093
2,0.193
3,0.169
4,0.061
5,0.142
6,0.173
7,0.488
8,0.331
9,0.121
10,-0.369
11,-0.297
12,-0.378
13,-0.260
14,-0.436
15,-0.443
16,-0.183
17,-0.322
18,-0.875